This record from Alexandria describes UCuRh2 after structural relaxation. The functional is PBE.

Cell and atoms, written as CIF:
```
data_UCuRh2
_chemical_formula_sum 'U3 Cu3 Rh6'
_cell_length_a 2.8204
_cell_length_b 2.8204
_cell_length_c 27.3302
_cell_angle_alpha 90.00
_cell_angle_beta 90.00
_cell_angle_gamma 120.00
_symmetry_space_group_name_H-M 'R -3 m'
_symmetry_Int_Tables_number 166
_symmetry_space_group_name_Hall '-R 3 2"'
loop_
_atom_site_label
_atom_site_fract_x
_atom_site_fract_y
_atom_site_fract_z
U1 0.0000 0.0000 0.0000
Cu1 0.0000 0.0000 0.5000
Rh1 0.0000 0.0000 0.2449
```

Computed properties:
- total magnetization (μB/f.u.) = 0.077
- Fermi-level density of states (states/eV/atom) = 1.09
- mass density (g cm⁻³) = 13.42
- DFT formation energy (eV per atom) = -0.0191
- crystal system = trigonal
- excess energy over the best structure of this formula in the dataset (eV per atom) = 0.452
- volume (Å³ per cell) = 188.28